VASP calculation (PBE) on a geometry-optimized CsCu2NiN structure.

E (eV/atom): -3.92
Raw formation energy (meV/atom): 706
Magnetization (μB/atom): 0.00

abc: 4.969 3.548 4.969
angles: 90.00 90.00 90.00
Atoms (fractional coordinates):
Cs (0.500, 0.500, 0.500)
Ni (0.000, 0.000, 0.000)
Cu (0.000, 0.000, 0.500)
Cu (0.500, 0.000, 0.000)
N (0.000, 0.500, 0.000)